(1)
DFT (GGA-PBE) results for a relaxed structure of Sm5ZnHg2.

Properties
The value obtained for the energy above the most stable polymorph in this dataset is 177 meV per atom. The total energy is -3.303 eV/atom. The value obtained for the formation enthalpy at 0 K is -0.1188 eV per atom. The value obtained for the density is 8.48 g/cm³. Its space-group type is Cmcm (63).

The structure in POSCAR format:
```
Sm5ZnHg2
1.0
2.820 -6.468 0.000
2.820 6.468 0.000
0.000 0.000 13.085
Sm Zn Hg
10 2 4
Direct
0.057 0.943 0.610
0.057 0.943 0.890
0.375 0.625 0.550
0.375 0.625 0.950
0.397 0.603 0.250
0.603 0.397 0.750
0.625 0.375 0.050
0.625 0.375 0.450
0.943 0.057 0.110
0.943 0.057 0.390
0.244 0.756 0.750
0.756 0.244 0.250
0.194 0.806 0.121
0.194 0.806 0.379
0.806 0.194 0.621
0.806 0.194 0.879
```

=====

(2)
DFT (GGA-PBE) results for a relaxed structure of AcThNiRh.

Properties
The total energy is -6.522 eV/atom. The value obtained for the formation enthalpy at 0 K is -0.3565 eV per atom. The value obtained for the density is 10.88 g/cm³. Its space-group type is F-43m (216).

The structure in POSCAR format:
```
AcThNiRh
1.0
7.237 0.000 0.000
0.000 7.237 0.000
0.000 0.000 7.237
Ac Th Ni Rh
4 4 4 4
Direct
0.000 0.000 0.000
0.000 0.500 0.500
0.500 0.000 0.500
0.500 0.500 0.000
0.000 0.000 0.500
0.000 0.500 0.000
0.500 0.000 0.000
0.500 0.500 0.500
0.250 0.250 0.750
0.250 0.750 0.250
0.750 0.250 0.250
0.750 0.750 0.750
0.250 0.250 0.250
0.250 0.750 0.750
0.750 0.250 0.750
0.750 0.750 0.250
```

=====

(3)
DFT (GGA-PBE) results for a relaxed structure of LiZr2Ta.

Properties
The value obtained for the energy above the most stable polymorph in this dataset is 116 meV per atom. The total energy is -7.456 eV/atom. The value obtained for the formation enthalpy at 0 K is 0.2600 eV per atom. The value obtained for the density is 7.79 g/cm³. Its space-group type is P4/mmm (123).

The structure in POSCAR format:
```
LiZr2Ta
1.0
4.746 0.000 0.000
0.000 4.746 0.000
0.000 0.000 3.503
Li Zr Ta
1 2 1
Direct
0.000 0.000 0.000
0.000 0.500 0.500
0.500 0.000 0.500
0.500 0.500 0.000
```